<i>
Computed, not measured: a relaxed structure of Rb2Zr2Cd at the PBE level of DFT.

Lattice parameters (Å, degrees): 11.201 11.201 3.023 90.00 90.00 90.00
Atoms (fractional coordinates):
Rb: 0.114 0.386 0.000
Rb: 0.386 0.886 0.000
Rb: 0.614 0.114 0.000
Rb: 0.886 0.614 0.000
Zr: 0.189 0.689 0.500
Zr: 0.311 0.189 0.500
Zr: 0.689 0.811 0.500
Zr: 0.811 0.311 0.500
Cd: 0.000 0.000 0.000
Cd: 0.500 0.500 0.000

=====

<ii>
Computed, not measured: a relaxed structure of Rb2Zr2Cd at the PBE level of DFT.

Lattice parameters (Å, degrees): 12.977 12.977 12.977 162.21 162.21 25.26
Atoms (fractional coordinates):
Rb: 0.109 0.109 0.000
Rb: 0.891 0.891 0.000
Zr: 0.250 0.750 0.500
Zr: 0.750 0.250 0.500
Cd: 0.500 0.500 0.000

=====

It is <i> that is the least stable of them.

=====

<i>
Computed, not measured: a relaxed structure of Cd3Re at the PBE level of DFT.

Lattice parameters (Å, degrees): 2.906 2.906 9.217 90.00 90.00 90.00
Atoms (fractional coordinates):
Cd: 0.000 0.000 0.000
Cd: 0.500 0.500 0.270
Cd: 0.500 0.500 0.730
Re: 0.000 0.000 0.500

=====

<ii>
Computed, not measured: a relaxed structure of Cd3Re at the PBE level of DFT.

Lattice parameters (Å, degrees): 5.951 5.951 4.957 90.00 90.00 120.00
Atoms (fractional coordinates):
Cd: 0.171 0.342 0.250
Cd: 0.171 0.829 0.250
Cd: 0.342 0.171 0.750
Cd: 0.658 0.829 0.250
Cd: 0.829 0.171 0.750
Cd: 0.829 0.658 0.750
Re: 0.333 0.667 0.750
Re: 0.667 0.333 0.250

=====

It is <ii> that is the least stable of them.

=====

<i>
Computed, not measured: a relaxed structure of Cd3Re at the PBE level of DFT.

Lattice parameters (Å, degrees): 5.964 5.964 4.451 90.00 90.00 78.75
Atoms (fractional coordinates):
Cd: 0.104 0.363 0.750
Cd: 0.156 0.844 0.750
Cd: 0.363 0.104 0.250
Cd: 0.637 0.896 0.750
Cd: 0.844 0.156 0.250
Cd: 0.896 0.637 0.250
Re: 0.418 0.582 0.250
Re: 0.582 0.418 0.750

=====

<ii>
Computed, not measured: a relaxed structure of Cd3Re at the PBE level of DFT.

Lattice parameters (Å, degrees): 11.513 11.513 11.513 14.30 14.30 14.30
Atoms (fractional coordinates):
Cd: 0.000 0.000 0.000
Cd: 0.239 0.239 0.239
Cd: 0.761 0.761 0.761
Re: 0.500 0.500 0.500

=====

<iii>
Computed, not measured: a relaxed structure of Cd3Re at the PBE level of DFT.

Lattice parameters (Å, degrees): 5.246 5.246 5.325 99.00 99.00 31.65
Atoms (fractional coordinates):
Cd: 0.000 0.000 0.000
Cd: 0.244 0.244 0.737
Cd: 0.756 0.756 0.263
Re: 0.500 0.500 0.500

=====

It is <iii> that is the least stable of them.

=====

<i>
Computed, not measured: a relaxed structure of Cd3Re at the PBE level of DFT.

Lattice parameters (Å, degrees): 5.962 5.962 9.817 90.00 90.00 120.00
Atoms (fractional coordinates):
Cd: 0.000 0.500 0.000
Cd: 0.000 0.500 0.500
Cd: 0.162 0.324 0.250
Cd: 0.162 0.838 0.250
Cd: 0.324 0.162 0.750
Cd: 0.500 0.000 0.000
Cd: 0.500 0.000 0.500
Cd: 0.500 0.500 0.000
Cd: 0.500 0.500 0.500
Cd: 0.676 0.838 0.250
Cd: 0.838 0.162 0.750
Cd: 0.838 0.676 0.750
Re: 0.000 0.000 0.000
Re: 0.000 0.000 0.500
Re: 0.333 0.667 0.750
Re: 0.667 0.333 0.250

=====

<ii>
Computed, not measured: a relaxed structure of Cd3Re at the PBE level of DFT.

Lattice parameters (Å, degrees): 2.838 4.449 6.015 90.00 90.86 90.00
Atoms (fractional coordinates):
Cd: 0.000 0.000 0.000
Cd: 0.496 0.500 0.266
Cd: 0.504 0.500 0.734
Re: 0.000 0.000 0.500

=====

It is <i> that is the least stable of them.

=====

<i>
Computed, not measured: a relaxed structure of CdRe3 at the PBE level of DFT.

Lattice parameters (Å, degrees): 2.818 2.818 8.160 90.00 90.00 90.00
Atoms (fractional coordinates):
Cd: 0.000 0.000 0.000
Re: 0.000 0.000 0.500
Re: 0.500 0.500 0.274
Re: 0.500 0.500 0.726

=====

<ii>
Computed, not measured: a relaxed structure of CdRe3 at the PBE level of DFT.

Lattice parameters (Å, degrees): 4.944 4.944 4.944 90.00 90.00 90.00
Atoms (fractional coordinates):
Cd: 0.000 0.000 0.000
Re: 0.000 0.000 0.500
Re: 0.000 0.500 0.000
Re: 0.500 0.000 0.000

=====

It is <ii> that is the least stable of them.

=====

<i>
Computed, not measured: a relaxed structure of CdRe3 at the PBE level of DFT.

Lattice parameters (Å, degrees): 9.602 9.602 9.602 16.80 16.80 16.80
Atoms (fractional coordinates):
Cd: 0.000 0.000 0.000
Re: 0.243 0.243 0.243
Re: 0.500 0.500 0.500
Re: 0.757 0.757 0.757

=====

<ii>
Computed, not measured: a relaxed structure of CdRe3 at the PBE level of DFT.

Lattice parameters (Å, degrees): 4.488 4.488 4.488 60.00 60.00 60.00
Atoms (fractional coordinates):
Cd: 0.000 0.000 0.000
Re: 0.250 0.250 0.250
Re: 0.500 0.500 0.500
Re: 0.750 0.750 0.750

=====

It is <ii> that is the least stable of them.